Here is crystalline AcLa8Tb6 at its relaxed geometry from the Alexandria database. Energies are from PBE.

The density of states at the Fermi level is 1.65 states/eV/atom. The calculation puts the formation energy at 0.172 eV per atom. The total energy is -4.58 eV per atom. As for the space group: P-3.

```
15
Lattice="9.562 0.000 0.000 -4.781 8.281 0.000 0.000 0.000 6.771" Properties=species:S:1:pos:R:3 pbc="T T T"
Ac 0.000 0.000 0.000
La -3.161 6.105 2.343
La 1.075 2.491 2.343
La 2.695 0.315 4.428
La 0.000 5.521 2.620
La 4.781 2.760 4.151
La 2.086 7.966 2.343
La 3.706 5.790 4.428
La 7.942 2.177 4.428
Tb -2.245 5.474 5.781
Tb 1.163 3.600 5.781
Tb 3.699 0.793 0.989
Tb 1.082 7.488 5.781
Tb 3.618 4.681 0.989
Tb 7.026 2.807 0.989
```

Here is crystalline TcPdBr2 at its relaxed geometry from the Alexandria database. Energies are from PBE.

The density of states at the Fermi level is 1.12 states/eV/atom. The energy above the most stable polymorph in this dataset is 0.1971 eV/atom. The raw formation energy is 0.62 eV/atom. The total energy is -4.11 eV per atom. As for the space group: R-3m.

```
4
Lattice="1.610 0.929 8.921 -1.610 0.929 8.921 0.000 -1.859 8.921" Properties=species:S:1:pos:R:3 pbc="T T T"
Tc 0.000 0.000 0.000
Pd 0.000 0.000 13.381
Br 0.000 0.000 2.386
Br 0.000 0.000 24.377
```

Repeat the second record exactly.
Here is crystalline TcPdBr2 at its relaxed geometry from the Alexandria database. Energies are from PBE.

The density of states at the Fermi level is 1.12 states/eV/atom. The energy above the most stable polymorph in this dataset is 0.1971 eV/atom. The raw formation energy is 0.62 eV/atom. The total energy is -4.11 eV per atom. As for the space group: R-3m.

```
4
Lattice="1.610 0.929 8.921 -1.610 0.929 8.921 0.000 -1.859 8.921" Properties=species:S:1:pos:R:3 pbc="T T T"
Tc 0.000 0.000 0.000
Pd 0.000 0.000 13.381
Br 0.000 0.000 2.386
Br 0.000 0.000 24.377
```